Entry 1:
The following is a DFT calculation (PBE) of a geometry-optimized ScTlPd2 structure. Values from VASP.

Summary:
N(E_F): 1.8 states/eV/f.u.
Calculated volume: 18.83 Å³ per atom
E: -5.358 eV per atom
Magnetic moment: 0.00 μB/cell
Space-group type: P4/mmm
Formation energy: -587 meV/atom

Geometry as Quantum ESPRESSO input:
```
&SYSTEM
  ibrav = 0, nat = 4, ntyp = 3
/
ATOMIC_SPECIES
Sc 44.96 Sc.upf
Tl 204.38 Tl.upf
Pd 106.42 Pd.upf
ATOMIC_POSITIONS crystal
Sc 0.000 0.000 0.000
Tl 0.000 0.000 0.500
Pd 0.500 0.500 0.227
Pd 0.500 0.500 0.773
CELL_PARAMETERS angstrom
3.396 0.000 0.000
0.000 3.396 0.000
0.000 0.000 6.529
```

---

Entry 2:
The following is a DFT calculation (PBE) of a geometry-optimized Tb5Nd2YTh structure. Values from VASP.

Summary:
N(E_F): 14.1 states/eV/f.u.
Calculated volume: 33.88 Å³ per atom
E: -5.010 eV per atom
Magnetic moment: 0.00 μB/cell
Space-group type: Cmc2_1
Formation energy: 164 meV/atom

Geometry as Quantum ESPRESSO input:
```
&SYSTEM
  ibrav = 0, nat = 18, ntyp = 4
/
ATOMIC_SPECIES
Tb 158.93 Tb.upf
Nd 144.24 Nd.upf
Y 88.91 Y.upf
Th 232.04 Th.upf
ATOMIC_POSITIONS crystal
Tb 0.016 0.984 0.500
Tb 0.280 0.720 0.788
Tb 0.300 0.700 0.183
Tb 0.392 0.608 0.498
Tb 0.478 0.522 0.213
Tb 0.522 0.478 0.713
Tb 0.608 0.392 0.998
Tb 0.700 0.300 0.683
Tb 0.720 0.280 0.288
Tb 0.984 0.016 0.000
Nd 0.115 0.885 0.207
Nd 0.116 0.884 0.795
Nd 0.884 0.116 0.295
Nd 0.885 0.115 0.707
Y 0.201 0.799 0.484
Y 0.799 0.201 0.984
Th 0.415 0.585 0.929
Th 0.585 0.415 0.429
CELL_PARAMETERS angstrom
2.827 -10.030 0.000
2.827 10.030 0.000
0.000 0.000 10.755
```